(a)
Here is crystalline La2Ho7Tm3 at its relaxed geometry from the Alexandria database. Energies are from PBE-GGA.

a = 6.3293 Å, b = 3.5040 Å, c = 17.3952 Å
α = 90.00°, β = 96.17°, γ = 90.00°
Space group P2/m (No. 10)
Symmetry-distinct sites (fractional):
1 La 0.0595 0.0000 0.1727 x2
2 Ho 0.0000 0.5000 0.5000 x1
3 Ho 0.2303 0.0000 0.6661 x2
4 Ho 0.2577 0.0000 0.9983 x2
5 Ho 0.2766 0.5000 0.3387 x2
6 Tm 0.4532 0.5000 0.8431 x2
7 Tm 0.5000 0.0000 0.5000 x1

Calculated values
Calculated volume, Å³/atom: 31.96



(b)
Here is crystalline La2Ho7Tm3 at its relaxed geometry from the Alexandria database. Energies are from PBE-GGA.

a = 5.6752 Å, b = 37.8421 Å, c = 3.6017 Å
α = 90.00°, β = 90.00°, γ = 90.00°
Space group Cmmm (No. 65)
Symmetry-distinct sites (fractional):
1 La 0.0000 0.1473 0.0000 x4
2 Ho 0.0000 0.0000 0.0000 x2
3 Ho 0.0000 0.0698 0.5000 x4
4 Ho 0.0000 0.2307 0.0000 x4
5 Ho 0.0000 0.4123 0.0000 x4
6 Tm 0.0000 0.3123 0.5000 x4
7 Tm 0.0000 0.5000 0.5000 x2

Calculated values
Calculated volume, Å³/atom: 32.23



(a) comes first in stability; the runner-up is 43 meV/atom higher.



(a)
Here is crystalline La2Ho5Tm2 at its relaxed geometry from the Alexandria database. Energies are from PBE-GGA.

a = 14.8959 Å, b = 11.8467 Å, c = 6.7195 Å
α = 90.00°, β = 90.00°, γ = 90.00°
Space group Ima2 (No. 46)
Symmetry-distinct sites (fractional):
1 La 0.1272 0.0013 0.0000 x8
2 Ho 0.0525 0.7458 0.1402 x8
3 Ho 0.1432 0.2328 0.3208 x8
4 Ho 0.2500 0.7433 0.3482 x4
5 Tm 0.0000 0.0000 0.4565 x4
6 Tm 0.2500 0.0101 0.5420 x4

Calculated values
Calculated volume, Å³/atom: 32.94



(b)
Here is crystalline La2Ho5Tm2 at its relaxed geometry from the Alexandria database. Energies are from PBE-GGA.

a = 11.7318 Å, b = 5.6801 Å, c = 8.9839 Å
α = 90.00°, β = 102.86°, γ = 90.00°
Space group C2/m (No. 12)
Symmetry-distinct sites (fractional):
1 La 0.0447 0.0000 0.3165 x4
2 Ho 0.0000 0.5000 0.0000 x2
3 Ho 0.1231 0.5000 0.6247 x4
4 Ho 0.2318 0.5000 0.2994 x4
5 Tm 0.1879 0.0000 0.0366 x4

Calculated values
Calculated volume, Å³/atom: 32.42



(b) comes first in stability; the runner-up is 113 meV/atom higher.



(a)
Here is crystalline LaHo3Tm5 at its relaxed geometry from the Alexandria database. Energies are from PBE-GGA.

a = 15.9285 Å, b = 8.6980 Å, c = 11.7895 Å
α = 90.00°, β = 129.26°, γ = 90.00°
Space group C2/m (No. 12)
Symmetry-distinct sites (fractional):
1 La 0.1418 0.0000 0.3568 x4
2 Ho 0.0000 0.0000 0.0000 x2
3 Ho 0.0000 0.0000 0.5000 x2
4 Ho 0.2247 0.5000 0.2871 x4
5 Ho 0.2433 0.5000 0.8051 x4
6 Tm 0.0000 0.3201 0.0000 x4
7 Tm 0.0533 0.5000 0.3972 x4
8 Tm 0.1158 0.1801 0.8295 x8
9 Tm 0.1512 0.5000 0.9679 x4

Calculated values
Calculated volume, Å³/atom: 35.13



(b)
Here is crystalline LaHo3Tm5 at its relaxed geometry from the Alexandria database. Energies are from PBE-GGA.

a = 19.0644 Å, b = 5.9732 Å, c = 11.1275 Å
α = 90.00°, β = 113.24°, γ = 90.00°
Space group C2/c (No. 15)
Symmetry-distinct sites (fractional):
1 La 0.0000 0.1432 0.2500 x4
2 Ho 0.0000 0.0000 0.0000 x4
3 Ho 0.1781 0.2306 0.3624 x8
4 Tm 0.0000 0.3674 0.7500 x4
5 Tm 0.1637 0.2578 0.6944 x8
6 Tm 0.1705 0.2563 0.0302 x8

Calculated values
Calculated volume, Å³/atom: 32.34



(b) comes first in stability; the runner-up is 127 meV/atom higher.



(a)
Here is crystalline La3Ho2Tm4 at its relaxed geometry from the Alexandria database. Energies are from PBE-GGA.

a = 14.9344 Å, b = 12.9870 Å, c = 6.3780 Å
α = 90.00°, β = 104.42°, γ = 90.00°
Space group C2/c (No. 15)
Symmetry-distinct sites (fractional):
1 La 0.0000 0.0383 0.2500 x4
2 La 0.1022 0.4369 0.9872 x8
3 Ho 0.2123 0.0797 0.6134 x8
4 Tm 0.0912 0.2909 0.5055 x8
5 Tm 0.1783 0.1822 0.1019 x8

Calculated values
Calculated volume, Å³/atom: 33.28



(b)
Here is crystalline La3Ho2Tm4 at its relaxed geometry from the Alexandria database. Energies are from PBE-GGA.

a = 16.2844 Å, b = 11.7761 Å, c = 6.1535 Å
α = 90.00°, β = 97.49°, γ = 90.00°
Space group C2/c (No. 15)
Symmetry-distinct sites (fractional):
1 La 0.0000 0.1301 0.2500 x4
2 La 0.1648 0.3635 0.0869 x8
3 Ho 0.1116 0.1257 0.7955 x8
4 Tm 0.0562 0.3788 0.5375 x8
5 Tm 0.2253 0.1209 0.3667 x8

Calculated values
Calculated volume, Å³/atom: 32.50



(b) comes first in stability; the runner-up is 35 meV/atom higher.



(a)
Here is crystalline La4HoTm4 at its relaxed geometry from the Alexandria database. Energies are from PBE-GGA.

a = 6.0823 Å, b = 6.0823 Å, c = 19.7134 Å
α = 90.00°, β = 90.00°, γ = 90.00°
Space group I-42m (No. 121)
Symmetry-distinct sites (fractional):
1 La 0.0000 0.0000 0.1430 x4
2 La 0.0000 0.5000 0.0000 x4
3 Ho 0.0000 0.0000 0.0000 x2
4 Tm 0.1810 0.1810 0.7067 x8

Calculated values
Calculated volume, Å³/atom: 40.52



(b)
Here is crystalline La4HoTm4 at its relaxed geometry from the Alexandria database. Energies are from PBE-GGA.

a = 10.8070 Å, b = 10.8070 Å, c = 5.1092 Å
α = 90.00°, β = 90.00°, γ = 90.00°
Space group I4/mmm (No. 139)
Symmetry-distinct sites (fractional):
1 La 0.1669 0.1669 0.0000 x8
2 Ho 0.0000 0.0000 0.5000 x2
3 Tm 0.0000 0.3372 0.5000 x8

Calculated values
Calculated volume, Å³/atom: 33.15



(b) comes first in stability; the runner-up is 700 meV/atom higher.



(a)
Here is crystalline LaHoTm5 at its relaxed geometry from the Alexandria database. Energies are from PBE-GGA.

a = 7.0350 Å, b = 11.4013 Å, c = 11.3624 Å
α = 90.00°, β = 90.00°, γ = 90.00°
Space group Imma (No. 74)
Symmetry-distinct sites (fractional):
1 La 0.2500 0.2500 0.2500 x4
2 Ho 0.0000 0.2500 0.5409 x4
3 Tm 0.0000 0.0368 0.7502 x8
4 Tm 0.0000 0.2500 0.9600 x4
5 Tm 0.2500 0.0000 0.0000 x8

Calculated values
Calculated volume, Å³/atom: 32.55



(b)
Here is crystalline LaHoTm5 at its relaxed geometry from the Alexandria database. Energies are from PBE-GGA.

a = 5.7704 Å, b = 8.5667 Å, c = 11.8076 Å
α = 90.00°, β = 90.00°, γ = 90.00°
Space group Immm (No. 71)
Symmetry-distinct sites (fractional):
1 La 0.0000 0.0000 0.0000 x2
2 Ho 0.0000 0.0000 0.5000 x2
3 Tm 0.0000 0.0000 0.2549 x4
4 Tm 0.0000 0.3215 0.5000 x4
5 Tm 0.0000 0.5000 0.0000 x2

Calculated values
Calculated volume, Å³/atom: 41.69



(a) comes first in stability; the runner-up is 980 meV/atom higher.